The following is a DFT calculation (PBE-GGA) of a geometry-optimized RbPmGeS3 structure.

Calculated values
Symmetry = P2_1/m
Calculated total energy = -5.096 eV/atom

Unit cell a=4.005 b=8.595 c=11.118 alpha=108.37 beta=90.00 gamma=90.00
Fractional positions:
Rb (0.750, 0.753, 0.716)
Rb (0.250, 0.247, 0.284)
Pm (0.250, 0.647, 0.152)
Pm (0.750, 0.353, 0.848)
Ge (0.250, 0.131, 0.566)
Ge (0.750, 0.869, 0.434)
S (0.250, 0.679, 0.415)
S (0.750, 0.896, 0.231)
S (0.750, 0.410, 0.109)
S (0.750, 0.321, 0.585)
S (0.250, 0.590, 0.891)
S (0.250, 0.104, 0.769)